1.
{"formula": "KSbW2", "functional": "GGA-PBE", "state": "optimized geometry", "magmom_total_mub_per_cell": 0.0, "dft_energy_ev_per_cell": -26.29, "volume_a3_per_cell": 87, "raw_formation_energy_ev_per_atom": 1.21, "space_group": "Immm (71)", "lattice_angstrom": [[-4.028, -5.111, -0.788], [1.338, -5.370, -3.513], [0.790, 4.239, 4.937]], "species": ["K", "W", "Sb", "W"], "fractional_positions": [[0.750, 0.250, 0.500], [0.461, 0.461, 0.000], [0.250, 0.750, 0.500], [0.039, 0.039, 0.000]]}



2.
{"formula": "AgSnOs3", "functional": "GGA-PBE", "state": "optimized geometry", "magmom_total_mub_per_cell": 3.4, "dft_energy_ev_per_cell": -27.13, "volume_a3_per_cell": 115, "space_group": "Pm-3m (221)", "lattice_angstrom": [[-0.553, -0.039, -4.829], [0.731, -4.806, -0.045], [-4.774, -0.731, 0.552]], "species": ["Os", "Sn", "Os", "Ag", "Os"], "fractional_positions": [[0.000, 0.500, 0.000], [0.000, 0.000, 0.000], [0.000, 0.000, 0.500], [0.500, 0.500, 0.500], [0.500, 0.000, 0.000]]}



3.
{"formula": "NdCdPd", "functional": "GGA-PBE", "state": "optimized geometry", "magmom_total_mub_per_cell": 0.0, "dft_energy_ev_per_cell": -38.67, "volume_a3_per_cell": 210, "space_group": "P-62m (189)", "lattice_angstrom": [[-0.657, -3.867, -1.025], [5.371, 0.556, -5.541], [2.014, -2.232, 7.129]], "species": ["Cd", "Nd", "Pd", "Nd", "Pd", "Pd", "Nd", "Cd", "Cd"], "fractional_positions": [[0.000, 0.748, 0.748], [0.500, 0.592, 0.000], [0.500, 0.000, 0.000], [0.500, 0.408, 0.408], [0.000, 0.667, 0.333], [0.000, 0.333, 0.667], [0.500, 0.000, 0.592], [0.000, 0.252, 0.000], [0.000, 0.000, 0.252]]}



4.
{"formula": "ReBiSN2", "functional": "GGA-PBE", "state": "optimized geometry", "magmom_total_mub_per_cell": 0.0, "dft_energy_ev_per_cell": -34.75, "volume_a3_per_cell": 78, "raw_formation_energy_ev_per_atom": 0.47, "space_group": "P4/mmm (123)", "lattice_angstrom": [[3.953, 0.000, 0.000], [0.000, 3.953, 0.000], [0.000, 0.000, 5.003]], "species": ["Bi", "N", "Re", "S", "N"], "fractional_positions": [[0.500, 0.500, 0.500], [0.500, 0.000, 0.000], [0.000, 0.000, 0.000], [0.000, 0.000, 0.500], [0.000, 0.500, 0.000]]}



5.
{"formula": "NaTe2WI", "functional": "GGA-PBE", "state": "optimized geometry", "magmom_total_mub_per_cell": 0.0, "dft_energy_ev_per_cell": -21.28, "volume_a3_per_cell": 171, "raw_formation_energy_ev_per_atom": 0.17, "space_group": "P4/mmm (123)", "lattice_angstrom": [[5.255, 0.000, 0.000], [0.000, 5.255, 0.000], [0.000, 0.000, 6.183]], "species": ["W", "Te", "Na", "Te", "I"], "fractional_positions": [[0.000, 0.000, 0.000], [0.000, 0.500, 0.000], [0.500, 0.500, 0.500], [0.500, 0.000, 0.000], [0.000, 0.000, 0.500]]}



6.
{"formula": "Ti2Ga2Tc", "functional": "GGA-PBE", "state": "optimized geometry", "magmom_total_mub_per_cell": 0.0, "dft_energy_ev_per_cell": -68.77, "volume_a3_per_cell": 155, "space_group": "P4/mbm (127)", "lattice_angstrom": [[-5.454, -2.363, 3.097], [-0.629, -4.724, -4.712], [1.977, -2.122, 1.864]], "species": ["Ga", "Ga", "Ti", "Ga", "Ti", "Ti", "Ga", "Tc", "Tc", "Ti"], "fractional_positions": [[0.630, 0.130, 0.000], [0.370, 0.870, 0.000], [0.174, 0.674, 0.500], [0.870, 0.630, 0.000], [0.826, 0.326, 0.500], [0.326, 0.174, 0.500], [0.130, 0.370, 0.000], [0.000, 0.000, 0.000], [0.500, 0.500, 0.000], [0.674, 0.826, 0.500]]}